Density functional theory data (GGA-PBE) for a relaxed TiSi2Mo2 crystal.

## Properties
Size of the total moment (μB/atom): 0.000
Calculated volume (Å³/cell): 146.3
E_tot (eV/atom): -8.57
Crystal system: tetragonal
DOS(E_F) (states/eV/f.u.): 4.07

abc: 6.667 6.667 3.292
angles: 90.00 90.00 90.00
Atoms (fractional coordinates):
Si: 0.867 0.633 0.000
Si: 0.367 0.867 0.000
Si: 0.133 0.367 0.000
Si: 0.633 0.133 0.000
Mo: 0.162 0.662 0.500
Mo: 0.338 0.162 0.500
Mo: 0.838 0.338 0.500
Mo: 0.662 0.838 0.500
Ti: 0.000 0.000 0.000
Ti: 0.500 0.500 0.000



Density functional theory data (GGA-PBE) for a relaxed TiSiMo2 crystal.

## Properties
Size of the total moment (μB/atom): 0.000
Calculated volume (Å³/cell): 130.7
E_tot (eV/atom): -8.38
Crystal system: tetragonal
DOS(E_F) (states/eV/f.u.): 4.30

abc: 6.994 6.994 5.621
angles: 51.53 51.53 90.00
Atoms (fractional coordinates):
Mo: 0.594 0.125 0.250
Mo: 0.875 0.844 0.750
Mo: 0.156 0.625 0.250
Mo: 0.375 0.406 0.750
Si: 0.250 0.750 0.500
Si: 0.500 0.500 0.000
Ti: 0.000 0.000 0.000
Ti: 0.750 0.250 0.500



Density functional theory data (GGA-PBE) for a relaxed TiSi4Mo crystal.

## Properties
Size of the total moment (μB/atom): 0.000
Calculated volume (Å³/cell): 83.4
E_tot (eV/atom): -7.19
Crystal system: monoclinic
DOS(E_F) (states/eV/f.u.): 2.48

abc: 3.188 4.615 6.518
angles: 110.63 90.00 110.20
Atoms (fractional coordinates):
Si: 0.166 0.832 0.835
Si: 0.833 0.167 0.671
Si: 0.167 0.833 0.329
Si: 0.834 0.168 0.165
Ti: 0.500 0.500 0.500
Mo: 0.500 0.500 0.000